# 1
DFT (GGA-PBE) results for a geometry-optimized TbTiIn structure.

Cell lengths 5.0975, 5.0975, 3.1003 Å; angles 90.00, 90.00, 120.00 degrees
Space group P-6m2 (No. 187)
Symmetry-distinct sites (fractional):
Tb: 0.0000 0.0000 0.0000 x1
Ti: 0.3333 0.6667 0.0000 x1
In: 0.6667 0.3333 0.5000 x1

M_tot = 0.714 μB/atom
total DFT energy (no corrections) = -15.05 eV/f.u.
crystal system = hexagonal
N(E_F) = 1.952 states/eV per cell
volume = 69.8 Å³ per cell

***

# 2
DFT (GGA-PBE) results for a geometry-optimized TbTiIn2 structure.

Cell lengths 3.655, 3.655, 6.919 Å; angles 90.00, 90.00, 90.00 degrees
Space group P4/mmm (No. 123)
Symmetry-distinct sites (fractional):
Tb: 0.000 0.000 0.000 x1
Ti: 0.000 0.000 0.500 x1
In: 0.500 0.500 0.282 x2

M_tot = 0.233 μB/atom
total DFT energy (no corrections) = -18.87 eV/f.u.
crystal system = tetragonal
N(E_F) = 2.434 states/eV per cell
volume = 92.4 Å³ per cell